This record from the Alexandria database describes Y2BRu after structural relaxation. The functional is PBE-GGA.

Results
DFT formation energy = -127 meV/atom
energy relative to the lowest polymorph listed for this composition = 0 meV per atom
calculated total energy = -7.35 eV/atom
theoretical density = 5.1 g/cm³
space-group type = I-42d (122)

Cell lengths 7.1627, 7.1627, 7.1627 Å; angles 94.41, 94.41, 147.82 degrees
Closest atoms and distances in Å follow each position.
Fractional positions:
Y 0.3750 0.0497 0.1747  2 B 2.59
Y 0.7997 0.6250 0.6747  2 B 2.59
Y 0.8750 0.2003 0.8253  2 B 2.59
Y 0.9503 0.1250 0.3253  2 B 2.59
B 0.0000 0.0000 0.0000  2 Ru 1.99
B 0.7500 0.2500 0.5000  2 Ru 1.99
Ru 0.2500 0.7500 0.5000  2 B 1.99
Ru 0.5000 0.5000 0.0000  2 B 1.99

This record from the Alexandria database describes Zr2TeIr after structural relaxation. The functional is PBE-GGA.

Results
calculated total energy = -7.98 eV/atom
raw formation energy = -703 meV/atom
theoretical density = 9.0 g/cm³
space-group type = R-3m (166)

Cell lengths 7.4593, 7.4593, 7.4593 Å; angles 30.18, 30.18, 30.18 degrees
Closest atoms and distances in Å follow each position.
Fractional positions:
Zr 0.2353 0.2353 0.2353  3 Ir 2.68
Zr 0.7647 0.7647 0.7647  3 Ir 2.68
Te 0.0000 0.0000 0.0000  6 Zr 3.07
Ir 0.5000 0.5000 0.5000  6 Zr 2.68

This record from the Alexandria database describes Pm8Pr2Th after structural relaxation. The functional is PBE-GGA.

Results
DFT formation energy = 196 meV/atom
energy relative to the lowest polymorph listed for this composition = 170 meV per atom
calculated total energy = -4.80 eV/atom
theoretical density = 7.1 g/cm³
space-group type = C2/m (12)

Cell lengths 10.3730, 10.3730, 5.7870 Å; angles 94.53, 94.53, 39.13 degrees
Closest atoms and distances in Å follow each position.
Fractional positions:
Pm 0.0484 0.0484 0.2260  1 Pm 3.10, 1 Pr 3.33
Pm 0.1147 0.6353 0.2795  5 Pm 3.33-3.65, 1 Pr 3.53, 1 Th 3.54
Pm 0.3189 0.3189 0.7780  4 Pr 3.47-3.55, 4 Pm 3.52-3.65, 1 Th 3.66
Pm 0.3647 0.8853 0.7205  5 Pm 3.33-3.65, 1 Pr 3.53, 1 Th 3.54
Pm 0.6353 0.1147 0.2795  5 Pm 3.33-3.65, 1 Pr 3.53, 1 Th 3.54
Pm 0.6811 0.6811 0.2220  4 Pr 3.47-3.55, 4 Pm 3.52-3.65, 1 Th 3.66
Pm 0.8853 0.3647 0.7205  5 Pm 3.33-3.65, 1 Pr 3.53, 1 Th 3.54
Pm 0.9516 0.9516 0.7740  1 Pm 3.10, 1 Pr 3.33
Pr 0.2193 0.2193 0.2533  7 Pm 3.33-3.55
Pr 0.7807 0.7807 0.7467  7 Pm 3.33-3.55
Th 0.5000 0.5000 0.0000  10 Pm 3.54-3.80

This record from the Alexandria database describes Cd2Hg2Pb7 after structural relaxation. The functional is PBE-GGA.

Results
DFT formation energy = 43 meV/atom
energy relative to the lowest polymorph listed for this composition = 0 meV per atom
calculated total energy = -2.54 eV/atom
theoretical density = 10.7 g/cm³
space-group type = C2/m (12)

Cell lengths 6.3376, 6.3376, 8.5596 Å; angles 102.55, 102.55, 96.12 degrees
Closest atoms and distances in Å follow each position.
Fractional positions:
Cd 0.1849 0.8151 0.0000  2 Hg 3.14, 6 Pb 3.15-3.40, 1 Cd 3.49
Cd 0.8151 0.1849 0.0000  2 Hg 3.14, 6 Pb 3.15-3.40, 1 Cd 3.49
Hg 0.0848 0.0848 0.3221  2 Cd 3.14, 8 Pb 3.19-3.48
Hg 0.9152 0.9152 0.6779  2 Cd 3.14, 8 Pb 3.19-3.48
Pb 0.0361 0.4192 0.6840  1 Cd 3.15, 3 Hg 3.19-3.45, 1 Pb 3.47
Pb 0.3514 0.3514 0.0871  4 Pb 3.32-3.69, 4 Cd 3.32-3.40, 1 Hg 3.48
Pb 0.4192 0.0361 0.6840  1 Cd 3.15, 3 Hg 3.19-3.45, 1 Pb 3.47
Pb 0.5000 0.5000 0.5000  10 Pb 3.34-3.66, 2 Hg 3.35
Pb 0.5808 0.9639 0.3160  1 Cd 3.15, 3 Hg 3.19-3.45, 1 Pb 3.47
Pb 0.6486 0.6486 0.9129  4 Pb 3.32-3.69, 4 Cd 3.32-3.40, 1 Hg 3.48
Pb 0.9639 0.5808 0.3160  1 Cd 3.15, 3 Hg 3.19-3.45, 1 Pb 3.47

> Look up the calculated total energy of the first one.

-7.35 eV/atom

> The lowest theoretical density belongs to which entry?

Y2BRu

> calculated total energy of number 1 (Y2BRu)?

-7.35 eV/atom

> Among the records above, which one has the lowest calculated total energy?

Zr2TeIr